TbNd2Tm4 after structural relaxation, computed with PBE.

Cell lengths 6.7224, 8.4418, 9.2016 Å; angles 65.65, 72.14, 77.46 degrees
Element x y z (fractional)
Tb: 0.0000 0.0000 0.0000
Tb: 0.1927 0.7660 0.5455
Nd: 0.0455 0.1930 0.2623
Nd: 0.5689 0.2908 0.1407
Nd: 0.7608 0.0473 0.6901
Nd: 0.8555 0.4350 0.7101
Tm: 0.1428 0.5776 0.2835
Tm: 0.2876 0.1474 0.5709
Tm: 0.3300 0.3377 0.8308
Tm: 0.4228 0.7177 0.8567
Tm: 0.4734 0.9050 0.1173
Tm: 0.6152 0.4833 0.4014
Tm: 0.7096 0.8562 0.4270
Tm: 0.9050 0.6256 0.9753

- E_form: 12 meV/atom
- Energy relative to the lowest polymorph listed for this composition: 0.000 eV per atom

Nd2Cu15Pd2 after structural relaxation, computed with PBE.

Cell lengths 6.5561, 6.5561, 6.5561 Å; angles 83.26, 83.26, 83.26 degrees
Element x y z (fractional)
Nd: 0.1613 0.1613 0.1613
Nd: 0.8387 0.8387 0.8387
Cu: 0.0000 0.5000 0.5000
Cu: 0.1522 0.1522 0.6562
Cu: 0.1522 0.6562 0.1522
Cu: 0.2065 0.5000 0.7935
Cu: 0.2065 0.7935 0.5000
Cu: 0.3438 0.8478 0.8478
Cu: 0.5000 0.0000 0.5000
Cu: 0.5000 0.2065 0.7935
Cu: 0.5000 0.5000 0.0000
Cu: 0.5000 0.7935 0.2065
Cu: 0.6562 0.1522 0.1522
Cu: 0.7935 0.2065 0.5000
Cu: 0.7935 0.5000 0.2065
Cu: 0.8478 0.3438 0.8478
Cu: 0.8478 0.8478 0.3438
Pd: 0.3952 0.3952 0.3952
Pd: 0.6048 0.6048 0.6048

- E_form: -168 meV/atom

RbSr2NpBr8 after structural relaxation, computed with PBE.

Cell lengths 7.0816, 9.5517, 7.2103 Å; angles 90.00, 90.10, 90.00 degrees
Element x y z (fractional)
Rb: 0.0000 0.0000 0.0000
Sr: 0.5000 0.2481 0.5000
Sr: 0.5000 0.7519 0.5000
Np: 0.0000 0.5000 0.0000
Br: 0.2413 0.2876 0.1577
Br: 0.2413 0.7124 0.1577
Br: 0.2586 0.5000 0.6746
Br: 0.2678 0.0000 0.6241
Br: 0.7322 0.0000 0.3759
Br: 0.7414 0.5000 0.3254
Br: 0.7587 0.2876 0.8423
Br: 0.7587 0.7124 0.8423

- ΔE_f (raw): -2050 kJ/mol of formula units

La6CdPd after structural relaxation, computed with PBE.

Cell lengths 6.9791, 6.9876, 8.0843 Å; angles 90.27, 115.09, 119.75 degrees
Element x y z (fractional)
La: 0.0361 0.0707 0.2362
La: 0.2671 0.6990 0.2360
La: 0.3310 0.5307 0.7647
La: 0.6690 0.4693 0.2353
La: 0.7329 0.3010 0.7640
La: 0.9639 0.9293 0.7638
Cd: 0.5000 0.0000 0.0000
Pd: 0.5000 0.5000 0.5000

- E_form: -37 meV/atom

SrCr2P after structural relaxation, computed with PBE.

Cell lengths 3.2047, 3.2047, 6.7054 Å; angles 90.00, 90.00, 90.00 degrees
Element x y z (fractional)
Sr: 0.0000 0.0000 0.0000
Cr: 0.5000 0.5000 0.3477
Cr: 0.5000 0.5000 0.6523
P: 0.0000 0.0000 0.5000

- E_form: 335 meV/atom

Hg2MoPt after structural relaxation, computed with PBE.

Cell lengths 2.9295, 2.9295, 30.6783 Å; angles 90.00, 90.00, 120.00 degrees
Element x y z (fractional)
Hg: 0.0000 0.0000 0.0000
Hg: 0.0000 0.0000 0.2345
Hg: 0.3333 0.6667 0.6667
Hg: 0.3333 0.6667 0.9011
Hg: 0.6667 0.3333 0.3333
Hg: 0.6667 0.3333 0.5678
Mo: 0.0000 0.0000 0.7494
Mo: 0.3333 0.6667 0.4160
Mo: 0.6667 0.3333 0.0827
Pt: 0.0000 0.0000 0.4843
Pt: 0.3333 0.6667 0.1509
Pt: 0.6667 0.3333 0.8176

- E_form: 213 meV/atom
- Energy relative to the lowest polymorph listed for this composition: 0.084 eV per atom

La6Bi2N after structural relaxation, computed with PBE.

Cell lengths 7.2528, 7.2528, 7.2528 Å; angles 60.00, 60.00, 60.00 degrees
Element x y z (fractional)
La: 0.2444 0.2444 0.7556
La: 0.2444 0.7556 0.2444
La: 0.2444 0.7556 0.7556
La: 0.7556 0.2444 0.2444
La: 0.7556 0.2444 0.7556
La: 0.7556 0.7556 0.2444
Bi: 0.2500 0.2500 0.2500
Bi: 0.7500 0.7500 0.7500
N: 0.0000 0.0000 0.0000

- ΔE_f (raw): -607 kJ/mol of formula units

Ca7Ag2Hg2 after structural relaxation, computed with PBE.

Cell lengths 7.1445, 7.1445, 7.5561 Å; angles 90.00, 90.00, 108.19 degrees
Element x y z (fractional)
Ca: 0.0000 0.0000 0.0000
Ca: 0.0000 0.5000 0.2726
Ca: 0.0000 0.5000 0.7274
Ca: 0.5000 0.0000 0.2726
Ca: 0.5000 0.0000 0.7274
Ca: 0.5000 0.5000 0.2555
Ca: 0.5000 0.5000 0.7445
Ag: 0.2884 0.7116 0.0000
Ag: 0.7116 0.2884 0.0000
Hg: 0.1817 0.1817 0.5000
Hg: 0.8183 0.8183 0.5000

- E_form: -196 meV/atom
- Energy relative to the lowest polymorph listed for this composition: 0.140 eV per atom

AcNdTlPd after structural relaxation, computed with PBE.

Cell lengths 7.7705, 7.7705, 7.7705 Å; angles 90.00, 90.00, 90.00 degrees
Element x y z (fractional)
Ac: 0.0000 0.0000 0.0000
Ac: 0.0000 0.5000 0.5000
Ac: 0.5000 0.0000 0.5000
Ac: 0.5000 0.5000 0.0000
Nd: 0.0000 0.0000 0.5000
Nd: 0.0000 0.5000 0.0000
Nd: 0.5000 0.0000 0.0000
Nd: 0.5000 0.5000 0.5000
Tl: 0.2500 0.2500 0.7500
Tl: 0.2500 0.7500 0.2500
Tl: 0.7500 0.2500 0.2500
Tl: 0.7500 0.7500 0.7500
Pd: 0.2500 0.2500 0.2500
Pd: 0.2500 0.7500 0.7500
Pd: 0.7500 0.2500 0.7500
Pd: 0.7500 0.7500 0.2500

- E_form: -440 meV/atom

CaYEr2Tl4 after structural relaxation, computed with PBE.

Cell lengths 9.3345, 9.3345, 9.3345 Å; angles 33.45, 33.45, 33.45 degrees
Element x y z (fractional)
Ca: 0.0000 0.0000 0.0000
Y: 0.5000 0.5000 0.5000
Er: 0.2517 0.2517 0.2517
Er: 0.7483 0.7483 0.7483
Tl: 0.1259 0.1259 0.1259
Tl: 0.3761 0.3761 0.3761
Tl: 0.6239 0.6239 0.6239
Tl: 0.8741 0.8741 0.8741

- E_form: -351 meV/atom

LiCdSe2 after structural relaxation, computed with PBE.

Cell lengths 4.1205, 4.1803, 10.3915 Å; angles 90.00, 90.00, 90.00 degrees
Element x y z (fractional)
Li: 0.0000 0.0000 0.0000
Li: 0.5000 0.5000 0.0000
Cd: 0.0000 0.5000 0.2320
Cd: 0.5000 0.0000 0.2320
Se: 0.0000 0.0000 0.4646
Se: 0.0000 0.5000 0.8389
Se: 0.5000 0.0000 0.8389
Se: 0.5000 0.5000 0.4646

- ΔE_f (raw): -79 kJ/mol of formula units

PmPdPb after structural relaxation, computed with PBE.

Cell lengths 8.7956, 8.1749, 7.2547 Å; angles 69.21, 60.33, 50.45 degrees
Element x y z (fractional)
Pm: 0.0161 0.0161 0.7339
Pm: 0.2661 0.2661 0.9839
Pm: 0.7339 0.7339 0.0161
Pm: 0.9839 0.9839 0.2661
Pd: 0.0724 0.6776 0.0724
Pd: 0.3224 0.9276 0.3224
Pd: 0.6776 0.0724 0.6776
Pd: 0.9276 0.3224 0.9276
Pb: 0.0000 0.5000 0.5000
Pb: 0.5000 0.0000 0.5000
Pb: 0.5000 0.5000 0.0000
Pb: 0.5000 0.5000 0.5000

- E_form: -360 meV/atom
- Energy relative to the lowest polymorph listed for this composition: 0.303 eV per atom